(1)
Density functional theory data (PBE-GGA) for crystalline ZnReCl at its relaxed geometry.

Computed properties:
- V (Å³/cell) = 54.26
- ΔE_f (raw) (meV per atom) = 632
- space group = I4mm
- N(E_F) (states/eV/atom) = 0.641
- M_tot (μB/cell) = 0.0

Structure (POSCAR):
```
ZnReCl
1.0
6.5899 0.0339 0.0000
5.2525 3.9798 0.0000
-5.9212 -2.0068 2.0832
Zn Cl Re
1 1 1
Direct
0.7050 0.7050 0.0000 Zn
0.9628 0.9628 0.0000 Cl
0.3321 0.3321 0.0000 Re
```

---

(2)
Density functional theory data (PBE-GGA) for crystalline Be16Tc2Ni at its relaxed geometry.

Computed properties:
- V (Å³/cell) = 161.48
- space group = R3m
- N(E_F) (states/eV/atom) = 0.302
- M_tot (μB/cell) = 0.0
- calculated formation energy (eV per atom) = -0.218

Structure (POSCAR):
```
Be16Tc2Ni
1.0
-5.0835 1.9293 -0.7423
-1.5170 -3.5075 -3.9384
-2.5982 -3.6003 3.2252
Tc Be Ni
2 16 1
Direct
0.3337 0.3337 0.3337 Tc
0.6601 0.6601 0.6601 Tc
0.6954 0.9983 0.3030 Be
0.6498 0.6498 0.1589 Be
0.3513 0.8354 0.3513 Be
0.9983 0.9983 0.5031 Be
0.6498 0.1589 0.6498 Be
0.1589 0.6498 0.6498 Be
0.5031 0.9983 0.9983 Be
0.9983 0.5031 0.9983 Be
0.8354 0.3513 0.3513 Be
0.1069 0.1069 0.1069 Be
0.9983 0.6954 0.3030 Be
0.9983 0.3030 0.6954 Be
0.3030 0.9983 0.6954 Be
0.3030 0.6954 0.9983 Be
0.6954 0.3030 0.9983 Be
0.3513 0.3513 0.8354 Be
0.9097 0.9097 0.9097 Ni
```

---

(3)
Density functional theory data (PBE-GGA) for crystalline Rb2Ag3Sb4 at its relaxed geometry.

Computed properties:
- V (Å³/cell) = 301.60
- ΔE_f (raw) (meV per atom) = -82
- space group = Fmmm
- N(E_F) (states/eV/atom) = 0.335
- M_tot (μB/cell) = 0.0

Structure (POSCAR):
```
Rb2Ag3Sb4
1.0
6.7085 -0.1244 0.0000
-3.2279 5.8822 0.0000
-1.7403 -2.8789 7.7217
Ag Sb Rb
3 4 2
Direct
0.5000 0.0000 0.0000 Ag
0.0000 0.5000 0.0000 Ag
0.0000 0.0000 0.0000 Ag
0.9602 0.2961 0.2563 Sb
0.7039 0.0398 0.7437 Sb
0.0398 0.7039 0.7437 Sb
0.2961 0.9602 0.2563 Sb
0.6504 0.6504 0.3009 Rb
0.3496 0.3496 0.6991 Rb
```

---

(4)
Density functional theory data (PBE-GGA) for crystalline Pr3Mg2Sn at its relaxed geometry.

Computed properties:
- V (Å³/cell) = 177.97
- space group = Cmmm
- N(E_F) (states/eV/atom) = 0.924
- M_tot (μB/cell) = 0.0
- calculated formation energy (eV per atom) = -0.338

Structure (POSCAR):
```
Pr3Mg2Sn
1.0
-1.5993 -1.4795 3.7076
2.2857 -4.6378 -0.8647
5.3266 4.8023 4.2140
Pr Mg Sn
3 2 1
Direct
0.5000 0.5000 0.0000 Pr
0.5000 0.8372 0.6743 Pr
0.5000 0.1628 0.3257 Pr
0.0000 0.6733 0.3466 Mg
0.0000 0.3267 0.6534 Mg
0.0000 0.0000 0.0000 Sn
```

---

(5)
Density functional theory data (PBE-GGA) for crystalline Ba2BrO at its relaxed geometry.

Computed properties:
- V (Å³/cell) = 113.59
- ΔE_f (raw) (meV per atom) = -1993
- space group = R-3m
- N(E_F) (states/eV/atom) = 0.521
- M_tot (μB/cell) = 0.0

Structure (POSCAR):
```
Ba2BrO
1.0
-0.5157 -0.0204 4.0770
-3.1857 -1.9974 1.6582
3.0724 -7.1153 2.4241
Ba Br O
2 1 1
Direct
0.2698 0.2698 0.1907 Ba
0.7302 0.7302 0.8093 Ba
0.5000 0.5000 0.5000 Br
0.0000 0.0000 0.0000 O
```

---

(6)
Density functional theory data (PBE-GGA) for crystalline SrSc2Ru at its relaxed geometry.

Computed properties:
- V (Å³/cell) = 313.68
- space group = I-42d
- N(E_F) (states/eV/atom) = 0.837
- M_tot (μB/cell) = 0.0
- calculated formation energy (eV per atom) = 0.464

Structure (POSCAR):
```
SrSc2Ru
1.0
7.3450 0.0000 0.0000
0.0000 7.3450 0.0000
3.6725 3.6725 5.8143
Sc Sr Ru
4 2 2
Direct
0.3750 0.1258 0.7500 Sc
0.8758 0.6250 0.2500 Sc
0.8750 0.1242 0.7500 Sc
0.8742 0.1250 0.2500 Sc
0.5000 0.5000 0.0000 Sr
0.2500 0.7500 0.5000 Sr
0.7500 0.2500 0.5000 Ru
0.0000 0.0000 0.0000 Ru
```

---

(7)
Density functional theory data (PBE-GGA) for crystalline Cs2CuBiF6 at its relaxed geometry.

Computed properties:
- V (Å³/cell) = 192.67
- ΔE_f (raw) (meV per atom) = -2275
- space group = Fm-3m
- M_tot (μB/cell) = 0.1

Structure (POSCAR):
```
Cs2CuBiF6
1.0
-4.4930 -4.6637 0.3026
-1.8251 -2.3746 5.7497
-5.9012 1.3305 2.3311
Cs F Cu Bi
2 6 1 1
Direct
0.2500 0.2500 0.2500 Cs
0.7500 0.7500 0.7500 Cs
0.2514 0.7486 0.7486 F
0.7486 0.2514 0.7486 F
0.2514 0.2514 0.7486 F
0.7486 0.2514 0.2514 F
0.2514 0.7486 0.2514 F
0.7486 0.7486 0.2514 F
0.5000 0.5000 0.5000 Cu
0.0000 0.0000 0.0000 Bi
```

---

(8)
Density functional theory data (PBE-GGA) for crystalline LiIn2Mo at its relaxed geometry.

Computed properties:
- V (Å³/cell) = 75.79
- space group = Cm
- N(E_F) (states/eV/atom) = 0.493
- M_tot (μB/cell) = 0.0
- calculated formation energy (eV per atom) = 0.143

Structure (POSCAR):
```
LiIn2Mo
1.0
-4.7479 1.7340 2.2877
-5.4347 0.9700 -0.5527
-2.4254 -3.9903 1.6599
In Mo Li
2 1 1
Direct
0.0078 0.0078 0.9063 In
0.2506 0.2506 0.3249 In
0.7474 0.7474 0.8296 Mo
0.4942 0.4942 0.4392 Li
```